#one
! TlPdN2 | Alexandria | GGA-PBE | optimized geometry; values from VASP
&SYSTEM
  ibrav = 0, nat = 4, ntyp = 3
/
ATOMIC_SPECIES
Tl 204.38 Tl.upf
N 14.01 N.upf
Pd 106.42 Pd.upf
CELL_PARAMETERS angstrom
3.675 -0.984 0.938
1.160 3.433 -0.929
0.082 -2.200 9.296
ATOMIC_POSITIONS crystal
Tl 0.695 0.182 0.189
N 0.793 0.410 0.722
N 0.018 0.150 0.636
Pd 0.194 0.684 0.191
! - calculated density (g/cm3) = 4.78

#two
! TlPdN2 | Alexandria | GGA-PBE | optimized geometry; values from VASP
&SYSTEM
  ibrav = 0, nat = 4, ntyp = 3
/
ATOMIC_SPECIES
N 14.01 N.upf
Pd 106.42 Pd.upf
Tl 204.38 Tl.upf
CELL_PARAMETERS angstrom
-4.809 -4.401 -1.156
-1.896 -6.190 -1.390
-3.250 -5.517 1.685
ATOMIC_POSITIONS crystal
N 0.100 0.100 0.100
N 0.900 0.900 0.900
Pd 0.000 0.000 0.000
Tl 0.500 0.500 0.500
! - calculated density (g/cm3) = 8.76

#three
! TlPdN2 | Alexandria | GGA-PBE | optimized geometry; values from VASP
&SYSTEM
  ibrav = 0, nat = 8, ntyp = 3
/
ATOMIC_SPECIES
N 14.01 N.upf
Pd 106.42 Pd.upf
Tl 204.38 Tl.upf
CELL_PARAMETERS angstrom
-1.090 1.836 -4.594
-4.947 -0.362 1.029
-2.973 5.487 0.105
ATOMIC_POSITIONS crystal
N 0.187 0.625 0.250
N 0.563 0.125 0.250
N 0.375 0.437 0.750
N 0.875 0.813 0.750
Pd 0.250 0.750 0.500
Tl 0.750 0.250 0.500
Tl 0.000 0.000 0.000
Pd 0.500 0.500 0.000
! - calculated density (g/cm3) = 8.58

Unit: meV/atom. Relative energies: #one 0; #two 1102; #three 923.

#one
! Tl2PdN | Alexandria | GGA-PBE | optimized geometry; values from VASP
&SYSTEM
  ibrav = 0, nat = 8, ntyp = 3
/
ATOMIC_SPECIES
Tl 204.38 Tl.upf
N 14.01 N.upf
Pd 106.42 Pd.upf
CELL_PARAMETERS angstrom
-3.513 3.738 -3.978
-2.536 -5.307 -2.746
-6.012 -0.743 -0.684
ATOMIC_POSITIONS crystal
Tl 0.181 0.625 0.250
N 0.250 0.750 0.500
Pd 0.000 0.000 0.000
N 0.500 0.500 0.000
Tl 0.875 0.819 0.750
Pd 0.750 0.250 0.500
Tl 0.375 0.431 0.750
Tl 0.569 0.125 0.250
! - calculated density (g/cm3) = 10.40

#two
! Tl2PdN | Alexandria | GGA-PBE | optimized geometry; values from VASP
&SYSTEM
  ibrav = 0, nat = 4, ntyp = 3
/
ATOMIC_SPECIES
Tl 204.38 Tl.upf
Pd 106.42 Pd.upf
N 14.01 N.upf
CELL_PARAMETERS angstrom
-1.577 -2.319 3.821
-4.632 -0.036 1.006
-2.506 -3.990 -0.516
ATOMIC_POSITIONS crystal
Tl 0.750 0.750 0.750
Tl 0.250 0.250 0.250
Pd 0.500 0.500 0.500
N 0.000 0.000 0.000
! - calculated density (g/cm3) = 11.67

Unit: meV/atom. Relative energies: #one 0; #two 331.

#one
! TlPd3N | Alexandria | GGA-PBE | optimized geometry; values from VASP
&SYSTEM
  ibrav = 0, nat = 5, ntyp = 3
/
ATOMIC_SPECIES
N 14.01 N.upf
Tl 204.38 Tl.upf
Pd 106.42 Pd.upf
CELL_PARAMETERS angstrom
-1.403 3.648 3.377
3.144 -2.066 3.538
3.850 3.017 -1.659
ATOMIC_POSITIONS crystal
N 0.500 0.500 0.500
Tl 0.000 0.000 0.000
Pd 0.000 0.000 0.500
Pd 0.500 0.000 0.000
Pd 0.000 0.500 0.000
! - calculated density (g/cm3) = 6.48

#two
! TlPd3N | Alexandria | GGA-PBE | optimized geometry; values from VASP
&SYSTEM
  ibrav = 0, nat = 5, ntyp = 3
/
ATOMIC_SPECIES
Pd 106.42 Pd.upf
Tl 204.38 Tl.upf
N 14.01 N.upf
CELL_PARAMETERS angstrom
-3.946 -0.985 -1.256
-1.026 -1.000 4.008
-1.222 4.019 0.689
ATOMIC_POSITIONS crystal
Pd 0.000 0.000 0.500
Pd 0.500 0.000 0.000
Tl 0.500 0.500 0.500
Pd 0.000 0.500 0.000
N 0.000 0.000 0.000
! - calculated density (g/cm3) = 11.58

Unit: meV/atom. Relative energies: #one 1701; #two 0.

#one
! Tm2PdN | Alexandria | GGA-PBE | optimized geometry; values from VASP
&SYSTEM
  ibrav = 0, nat = 4, ntyp = 3
/
ATOMIC_SPECIES
Pd 106.42 Pd.upf
Tm 168.93 Tm.upf
N 14.01 N.upf
CELL_PARAMETERS angstrom
3.139 0.000 0.000
0.000 3.139 0.000
0.000 0.000 6.698
ATOMIC_POSITIONS crystal
Pd 0.500 0.500 0.500
Tm 0.000 0.000 0.787
Tm 0.000 0.000 0.213
N 0.500 0.500 0.000
! - calculated density (g/cm3) = 11.53

#two
! Tm2PdN | Alexandria | GGA-PBE | optimized geometry; values from VASP
&SYSTEM
  ibrav = 0, nat = 4, ntyp = 3
/
ATOMIC_SPECIES
Tm 168.93 Tm.upf
N 14.01 N.upf
Pd 106.42 Pd.upf
CELL_PARAMETERS angstrom
3.310 0.000 0.000
1.655 2.867 0.000
1.655 0.956 7.982
ATOMIC_POSITIONS crystal
Tm 0.110 0.110 0.669
N 0.500 0.500 0.500
Tm 0.890 0.890 0.331
Pd 0.000 0.000 0.000
! - calculated density (g/cm3) = 10.05

Unit: meV/atom. Relative energies: #one 89; #two 0.